No. 1
# Y2MnIr, relaxed, DFT GGA-PBE
# SG: No. 166
# Total magnetization, Bohr magnetons per cell: 3.93
# ΔH_f (0 K), meV per atom: 19
# Uncorrected energy, eV per atom: -7.721
data_Y2MnIr
_chemical_formula_sum 'Y2 Mn1 Ir1'
_symmetry_space_group_name_H-M 'P 1'
_symmetry_Int_Tables_number 1
_symmetry_space_group_name_Hall 'P 1'
_cell_length_a 8.210
_cell_length_b 8.210
_cell_length_c 8.210
_cell_angle_alpha 27.24
_cell_angle_beta 27.24
_cell_angle_gamma 27.24
loop_
_atom_site_label
_atom_site_fract_x
_atom_site_fract_y
_atom_site_fract_z
_atom_site_occupancy
Y1 0.514 0.514 0.514 1
Y2 0.986 0.986 0.986 1
Ir1 0.250 0.250 0.250 1
Mn1 0.750 0.750 0.750 1

No. 2
# Pu5S4N, relaxed, DFT GGA-PBE
# SG: No. 139
# Uncorrected formation energy, eV per formula unit: -15.7
# Total magnetization, Bohr magnetons per cell: 27.48
# Uncorrected energy, eV per atom: -11.217
data_Pu5S4N
_chemical_formula_sum 'Pu5 S4 N1'
_symmetry_space_group_name_H-M 'P 1'
_symmetry_Int_Tables_number 1
_symmetry_space_group_name_Hall 'P 1'
_cell_length_a 3.897
_cell_length_b 3.897
_cell_length_c 13.941
_cell_angle_alpha 98.03
_cell_angle_beta 98.03
_cell_angle_gamma 90.00
loop_
_atom_site_label
_atom_site_fract_x
_atom_site_fract_y
_atom_site_fract_z
_atom_site_occupancy
Pu1 0.699 0.699 0.399 1
Pu2 0.912 0.912 0.824 1
Pu3 0.500 0.500 0.000 1
Pu4 0.301 0.301 0.601 1
Pu5 0.088 0.088 0.176 1
S1 0.599 0.599 0.198 1
S2 0.401 0.401 0.802 1
S3 0.197 0.197 0.394 1
S4 0.803 0.803 0.606 1
N1 0.000 0.000 0.000 1

No. 3
# NaAg2Se2, relaxed, DFT GGA-PBE
# SG: No. 139
# Uncorrected formation energy, eV per formula unit: -1.6
# Total magnetization, Bohr magnetons per cell: 0.00
# E above lowest polymorph, eV/f.u.: 0.00
# Uncorrected energy, eV per atom: -3.125
data_NaAg2Se2
_chemical_formula_sum 'Na1 Ag2 Se2'
_symmetry_space_group_name_H-M 'P 1'
_symmetry_Int_Tables_number 1
_symmetry_space_group_name_Hall 'P 1'
_cell_length_a 4.242
_cell_length_b 4.242
_cell_length_c 7.153
_cell_angle_alpha 72.75
_cell_angle_beta 72.75
_cell_angle_gamma 90.00
loop_
_atom_site_label
_atom_site_fract_x
_atom_site_fract_y
_atom_site_fract_z
_atom_site_occupancy
Se1 0.383 0.383 0.234 1
Se2 0.617 0.617 0.766 1
Ag1 0.750 0.250 0.500 1
Ag2 0.250 0.750 0.500 1
Na1 0.000 0.000 0.000 1

No. 4
# LiCaMn, relaxed, DFT GGA-PBE
# SG: No. 216
# Total magnetization, Bohr magnetons per cell: 3.91
# ΔH_f (0 K), meV per atom: 914
# E above lowest polymorph, eV/f.u.: 1.57
# Uncorrected energy, eV per atom: -3.448
data_LiCaMn
_chemical_formula_sum 'Li1 Ca1 Mn1'
_symmetry_space_group_name_H-M 'P 1'
_symmetry_Int_Tables_number 1
_symmetry_space_group_name_Hall 'P 1'
_cell_length_a 5.029
_cell_length_b 5.029
_cell_length_c 5.029
_cell_angle_alpha 60.00
_cell_angle_beta 60.00
_cell_angle_gamma 60.00
loop_
_atom_site_label
_atom_site_fract_x
_atom_site_fract_y
_atom_site_fract_z
_atom_site_occupancy
Li1 0.000 0.000 0.000 1
Mn1 0.500 0.500 0.500 1
Ca1 0.750 0.750 0.750 1